A plane-wave DFT calculation with PBE was carried out for a relaxed LiEr2ZrAs4 crystal. Values from VASP.

```
&SYSTEM
  ibrav = 0, nat = 8, ntyp = 4
/
ATOMIC_SPECIES
Li 6.94 Li.upf
Er 167.26 Er.upf
Zr 91.22 Zr.upf
As 74.92 As.upf
CELL_PARAMETERS angstrom
6.8084 0.0000 0.0000
0.0000 3.9698 0.0000
-2.3428 0.0000 6.6093
ATOMIC_POSITIONS crystal
Li 0.0000 0.0000 0.0000
Er 0.5000 0.0000 0.5000
Er 0.5000 0.5000 0.0000
Zr 0.0000 0.5000 0.5000
As 0.2371 0.0000 0.7442
As 0.2374 0.5000 0.2509
As 0.7629 0.0000 0.2558
As 0.7626 0.5000 0.7491
```

Computed properties:
Volume ... 22.3 A^3/atom
Space-group type ... P2/m (10)
Energy ... -5.8339 eV/atom